Compound: Na8Cd2Bi
Source: Alexandria via LeMat-Bulk
Functional: PBE-GGA
Structure: optimized geometry

The structure in POSCAR format:
```
Na8Cd2Bi
1.0
9.025 -2.678 0.000
9.025 2.678 0.000
-0.101 0.000 6.604
Na Cd Bi
8 2 1
direct
0.051 0.051 0.248
0.137 0.137 0.689
0.316 0.316 0.603
0.407 0.407 0.052
0.593 0.593 0.948
0.684 0.684 0.397
0.863 0.863 0.311
0.949 0.949 0.752
0.231 0.231 0.106
0.769 0.769 0.894
0.500 0.500 0.500
```

## Properties
Total magnetization (Bohr magnetons per cell): 0.000
Electronic total energy (eV/atom): -1.616
Energy above the most stable polymorph in this dataset (eV/f.u.): 0.00
ΔH_f (0 K) (eV/atom): -0.138
Symmetry: C2/m, No. 12
DOS at the Fermi energy (states/eV per cell): 4.46